A geometry-optimized K2Ca3HoF12 structure, computed with PBE-GGA. Values from VASP.

Structure (Quantum ESPRESSO input):
```
&SYSTEM
  ibrav = 0, nat = 18, ntyp = 4
/
ATOMIC_SPECIES
K 39.10 K.upf
Ca 40.08 Ca.upf
Ho 164.93 Ho.upf
F 19.00 F.upf
CELL_PARAMETERS angstrom
8.328 0.210 0.149
4.295 7.138 0.149
4.295 2.500 6.688
ATOMIC_POSITIONS crystal
K 0.588 0.588 0.588
K 0.412 0.412 0.412
Ca 0.500 0.000 0.000
Ca 0.000 0.500 0.000
Ca 0.000 0.000 0.500
Ho 0.000 0.000 0.000
F 0.342 0.342 0.902
F 0.937 0.937 0.313
F 0.313 0.937 0.937
F 0.902 0.342 0.342
F 0.937 0.313 0.937
F 0.342 0.902 0.342
F 0.658 0.658 0.098
F 0.063 0.063 0.687
F 0.687 0.063 0.063
F 0.098 0.658 0.658
F 0.063 0.687 0.063
F 0.658 0.098 0.658
```

magnetic moment = 1.3 μB/f.u.
space-group type = No. 166
raw formation energy = -3408 meV per atom
E = -5.36 eV per atom